<A>
# ScIr2Cl

ScIr2Cl after structural relaxation (GGA-PBE, Alexandria).

The structure in CIF format:
```
data_ScIr2Cl
_symmetry_space_group_name_H-M 'I 4/m m m'
_symmetry_Int_Tables_number 139
_symmetry_space_group_name_Hall '-I 4 2'
_cell_length_a 3.6472
_cell_length_b 3.6472
_cell_length_c 10.4532
_cell_angle_alpha 90.00
_cell_angle_beta 90.00
_cell_angle_gamma 90.00
loop_
_atom_site_label
_atom_site_type_symbol
_atom_site_fract_x
_atom_site_fract_y
_atom_site_fract_z
_atom_site_occupancy
Sc1 Sc 0.0000 0.0000 0.0000 1
Ir1 Ir 0.0000 0.5000 0.2500 1
Cl1 Cl 0.0000 0.0000 0.5000 1
```

Calculated values
- volume (Å³/atom) = 17.4
- magnetic moment (Bohr magnetons per cell) = 0.00


<B>
# ScIr2Cl

ScIr2Cl after structural relaxation (GGA-PBE, Alexandria).

The structure in CIF format:
```
data_ScIr2Cl
_symmetry_space_group_name_H-M 'P m m 2'
_symmetry_Int_Tables_number 25
_cell_length_a 3.0049
_cell_length_b 3.7312
_cell_length_c 7.7776
_cell_angle_alpha 90.00
_cell_angle_beta 90.00
_cell_angle_gamma 90.00
loop_
_symmetry_equiv_pos_as_xyz
'x,y,z'
'-x,-y,z'
'-x,y,z'
'x,-y,z'
loop_
_atom_site_label
_atom_site_type_symbol
_atom_site_fract_x
_atom_site_fract_y
_atom_site_fract_z
_atom_site_occupancy
Sc1 Sc 0.0000 0.0000 0.0000 1
Ir1 Ir 0.0000 0.0000 0.6643 1
Ir2 Ir 0.5000 0.5000 0.7696 1
Cl1 Cl 0.5000 0.5000 0.1946 1
```

Calculated values
- volume (Å³/atom) = 21.8
- magnetic moment (Bohr magnetons per cell) = 0.00


Which of them is the most stable, and which is the least stable? <B> and <A>, in that order.


<A>
# ScIrCl3

ScIrCl3 after structural relaxation (GGA-PBE, Alexandria).

The structure in CIF format:
```
data_ScIrCl3
_symmetry_space_group_name_H-M 'P m -3 m'
_symmetry_Int_Tables_number 221
_symmetry_space_group_name_Hall '-P 4 2 3'
_cell_length_a 4.8416
_cell_length_b 4.8416
_cell_length_c 4.8416
_cell_angle_alpha 90.00
_cell_angle_beta 90.00
_cell_angle_gamma 90.00
loop_
_atom_site_label
_atom_site_type_symbol
_atom_site_fract_x
_atom_site_fract_y
_atom_site_fract_z
_atom_site_occupancy
Sc1 Sc 0.0000 0.0000 0.0000 1
Ir1 Ir 0.5000 0.5000 0.5000 1
Cl1 Cl 0.0000 0.5000 0.5000 1
```

Calculated values
- volume (Å³/atom) = 22.7
- magnetic moment (Bohr magnetons per cell) = 1.19


<B>
# ScIrCl3

ScIrCl3 after structural relaxation (GGA-PBE, Alexandria).

The structure in CIF format:
```
data_ScIrCl3
_symmetry_space_group_name_H-M 'P m -3 m'
_symmetry_Int_Tables_number 221
_symmetry_space_group_name_Hall '-P 4 2 3'
_cell_length_a 5.0131
_cell_length_b 5.0131
_cell_length_c 5.0131
_cell_angle_alpha 90.00
_cell_angle_beta 90.00
_cell_angle_gamma 90.00
loop_
_atom_site_label
_atom_site_type_symbol
_atom_site_fract_x
_atom_site_fract_y
_atom_site_fract_z
_atom_site_occupancy
Sc1 Sc 0.0000 0.0000 0.0000 1
Ir1 Ir 0.5000 0.5000 0.5000 1
Cl1 Cl 0.0000 0.0000 0.5000 1
```

Calculated values
- volume (Å³/atom) = 25.2
- magnetic moment (Bohr magnetons per cell) = 3.00


Which of them is the most stable, and which is the least stable? <B> and <A>, in that order.


<A>
# ScIrCl

ScIrCl after structural relaxation (GGA-PBE, Alexandria).

The structure in CIF format:
```
data_ScIrCl
_symmetry_space_group_name_H-M 'P 3 m 1'
_symmetry_Int_Tables_number 156
_cell_length_a 4.3462
_cell_length_b 4.3462
_cell_length_c 3.1174
_cell_angle_alpha 90.00
_cell_angle_beta 90.00
_cell_angle_gamma 120.00
loop_
_symmetry_equiv_pos_as_xyz
'x,y,z'
'-y,x-y,z'
'-x+y,-x,z'
'-y,-x,z'
'-x+y,y,z'
'x,x-y,z'
loop_
_atom_site_label
_atom_site_type_symbol
_atom_site_fract_x
_atom_site_fract_y
_atom_site_fract_z
_atom_site_occupancy
Sc1 Sc 0.0000 0.0000 0.0000 1
Ir1 Ir 0.6667 0.3333 0.5004 1
Cl1 Cl 0.3333 0.6667 0.4305 1
```

Calculated values
- volume (Å³/atom) = 17.0
- magnetic moment (Bohr magnetons per cell) = 0.00


<B>
# ScIrCl

ScIrCl after structural relaxation (GGA-PBE, Alexandria).

The structure in CIF format:
```
data_ScIrCl
_symmetry_space_group_name_H-M 'F -4 3 m'
_symmetry_Int_Tables_number 216
_symmetry_space_group_name_Hall 'F -4 2 3'
_cell_length_a 6.2451
_cell_length_b 6.2451
_cell_length_c 6.2451
_cell_angle_alpha 90.00
_cell_angle_beta 90.00
_cell_angle_gamma 90.00
loop_
_atom_site_label
_atom_site_type_symbol
_atom_site_fract_x
_atom_site_fract_y
_atom_site_fract_z
_atom_site_occupancy
Sc1 Sc 0.0000 0.0000 0.0000 1
Ir1 Ir 0.2500 0.2500 0.7500 1
Cl1 Cl 0.0000 0.0000 0.5000 1
```

Calculated values
- volume (Å³/atom) = 20.3
- magnetic moment (Bohr magnetons per cell) = 0.00


<C>
# ScIrCl

ScIrCl after structural relaxation (GGA-PBE, Alexandria).

The structure in CIF format:
```
data_ScIrCl
_symmetry_space_group_name_H-M 'P 3 m 1'
_symmetry_Int_Tables_number 156
_cell_length_a 3.2482
_cell_length_b 3.2482
_cell_length_c 6.8105
_cell_angle_alpha 90.00
_cell_angle_beta 90.00
_cell_angle_gamma 120.00
loop_
_symmetry_equiv_pos_as_xyz
'x,y,z'
'-y,x-y,z'
'-x+y,-x,z'
'-y,-x,z'
'-x+y,y,z'
'x,x-y,z'
loop_
_atom_site_label
_atom_site_type_symbol
_atom_site_fract_x
_atom_site_fract_y
_atom_site_fract_z
_atom_site_occupancy
Sc1 Sc 0.0000 0.0000 0.0000 1
Ir1 Ir 0.3333 0.6667 0.7385 1
Cl1 Cl 0.6667 0.3333 0.2608 1
```

Calculated values
- volume (Å³/atom) = 20.7
- magnetic moment (Bohr magnetons per cell) = 0.00


Which of them is the most stable, and which is the least stable? <C> and <B>, in that order.